AlSnF2 | PBE | optimized geometry

a b c (Å): 6.454 6.454 6.454
angles (deg): 90.00 90.00 90.00
Space group Fm-3m (No. 225)
One atom of each set of equivalent atoms:
Al1 0.000 0.000 0.000
Sn1 0.000 0.000 0.500
F1 0.250 0.250 0.250

Calculated values
uncorrected formation energy = -1.07 eV/atom
E above lowest polymorph = 0.567 eV per atom
theoretical density = 4.539 g/cm³
magnetic moment = 0.00 μB/cell
raw total energy = -15.76 eV/f.u.


Al2SnF8 | PBE | optimized geometry

a b c (Å): 6.3579 6.3579 5.5654
angles (deg): 90.00 90.00 120.00
Space group P-3m1 (No. 164)
One atom of each set of equivalent atoms:
Al1 0.3333 0.6667 0.3332
Sn1 0.0000 0.0000 0.0000
F1 0.1875 0.3749 0.2270
F2 0.3333 0.6667 0.6345

Calculated values
uncorrected formation energy = -3.09 eV/atom
theoretical density = 2.767 g/cm³
magnetic moment = 0.00 μB/cell
raw total energy = -60.46 eV/f.u.


AlSnF2 | PBE | optimized geometry

a b c (Å): 5.679 5.679 8.380
angles (deg): 90.00 90.00 90.00
Space group I4_1/amd (No. 141, origin choice 2)
One atom of each set of equivalent atoms:
Al1 0.000 0.250 0.375
Sn1 0.000 0.250 0.875
F1 0.000 0.000 0.500

Calculated values
uncorrected formation energy = -1.62 eV/atom
E above lowest polymorph = 0.009 eV per atom
theoretical density = 4.515 g/cm³
magnetic moment = 0.00 μB/cell
raw total energy = -17.99 eV/f.u.


SrAlSn2F8 | PBE | optimized geometry

a b c (Å): 4.955 6.426 6.904
angles (deg): 84.95 89.14 84.99
Space group P-1 (No. 2)
One atom of each set of equivalent atoms:
Sr1 0.000 0.000 0.000
Al1 0.000 0.000 0.500
Sn1 0.454 0.424 0.271
F1 0.140 0.835 0.318
F2 0.192 0.837 0.701
F3 0.271 0.175 0.459
F4 0.362 0.221 0.047

Calculated values
uncorrected formation energy = -2.86 eV/atom
theoretical density = 3.837 g/cm³
magnetic moment = 0.00 μB/cell
raw total energy = -62.78 eV/f.u.


AlTcSnF2 | PBE | optimized geometry

a b c (Å): 4.122 4.122 5.336
angles (deg): 90.00 90.00 90.00
Space group P4/mmm (No. 123)
One atom of each set of equivalent atoms:
Al1 0.000 0.000 0.000
Tc1 0.000 0.000 0.500
Sn1 0.500 0.500 0.000
F1 0.000 0.500 0.500

Calculated values
uncorrected formation energy = -0.57 eV/atom
E above lowest polymorph = 0.014 eV per atom
theoretical density = 5.158 g/cm³
magnetic moment = 1.76 μB/cell
raw total energy = -24.71 eV/f.u.


AlTcSnF2 | PBE | optimized geometry

a b c (Å): 4.104 4.104 5.715
angles (deg): 90.00 90.00 90.00
Space group P4/mmm (No. 123)
One atom of each set of equivalent atoms:
Al1 0.000 0.000 0.000
Tc1 0.500 0.500 0.500
Sn1 0.500 0.500 0.000
F1 0.000 0.500 0.500

Calculated values
uncorrected formation energy = -0.58 eV/atom
E above lowest polymorph = 0.000 eV per atom
theoretical density = 4.859 g/cm³
magnetic moment = 2.30 μB/cell
raw total energy = -24.78 eV/f.u.


AlSnTeF2 | PBE | optimized geometry

a b c (Å): 4.391 4.391 5.872
angles (deg): 90.00 90.00 90.00
Space group P4/mmm (No. 123)
One atom of each set of equivalent atoms:
Al1 0.000 0.000 0.000
Sn1 0.500 0.500 0.000
Te1 0.000 0.000 0.500
F1 0.000 0.500 0.500

Calculated values
uncorrected formation energy = -0.65 eV/atom
theoretical density = 4.566 g/cm³
magnetic moment = 0.00 μB/cell
raw total energy = -17.86 eV/f.u.


AlTl2SnF6 | PBE | optimized geometry

a b c (Å): 5.533 8.197 7.926
angles (deg): 90.00 90.00 90.00
Space group Pmmn (No. 59, origin choice 2)
One atom of each set of equivalent atoms:
Al1 0.250 0.250 0.169
Tl1 0.250 0.035 0.619
Sn1 0.250 0.750 0.200
F1 0.009 0.250 0.004
F2 0.020 0.250 0.333
F3 0.250 0.027 0.158

Calculated values
uncorrected formation energy = -2.37 eV/atom
theoretical density = 6.176 g/cm³
magnetic moment = 0.00 μB/cell
raw total energy = -47.44 eV/f.u.


Al2TlSnF8 | PBE | optimized geometry

a b c (Å): 5.1453 5.1453 29.4881
angles (deg): 90.00 90.00 120.00
Space group R-3 (No. 148, hexagonal axes)
One atom of each set of equivalent atoms:
Al1 0.0000 0.0000 0.2462
Tl1 0.0000 0.0000 0.5000
Sn1 0.0000 0.0000 0.0000
F1 0.0000 0.0000 0.1880
F2 0.0110 0.3567 0.4038

Calculated values
uncorrected formation energy = -2.73 eV/atom
theoretical density = 3.898 g/cm³
magnetic moment = 2.07 μB/cell
raw total energy = -61.63 eV/f.u.


AlTlSnF6 | PBE | optimized geometry

a b c (Å): 5.404 5.604 5.659
angles (deg): 62.06 89.91 89.88
Space group P1 (No. 1)
One atom of each set of equivalent atoms:
Al1 0.000 0.000 0.000
Tl1 0.574 0.676 0.647
Sn1 0.093 0.338 0.292
F1 0.148 0.881 0.330
F2 0.187 0.306 0.884
F3 0.219 0.823 0.902
F4 0.787 0.182 0.130
F5 0.807 0.691 0.144
F6 0.836 0.140 0.681

Calculated values
uncorrected formation energy = -2.74 eV/atom
theoretical density = 5.090 g/cm³
magnetic moment = 0.00 μB/cell
raw total energy = -46.03 eV/f.u.


Among the records above, which one has the highest magnetic moment?
number 6


Copy entry 4 word for word.
SrAlSn2F8 | PBE | optimized geometry

a b c (Å): 4.955 6.426 6.904
angles (deg): 84.95 89.14 84.99
Space group P-1 (No. 2)
One atom of each set of equivalent atoms:
Sr1 0.000 0.000 0.000
Al1 0.000 0.000 0.500
Sn1 0.454 0.424 0.271
F1 0.140 0.835 0.318
F2 0.192 0.837 0.701
F3 0.271 0.175 0.459
F4 0.362 0.221 0.047

Calculated values
uncorrected formation energy = -2.86 eV/atom
theoretical density = 3.837 g/cm³
magnetic moment = 0.00 μB/cell
raw total energy = -62.78 eV/f.u.


Which value of theoretical density does entry 4 give?
3.837 g/cm³